No. 1
The following is a DFT calculation (GGA-PBE) of crystalline Cd2CuAu at its relaxed geometry.

Unit cell a=5.3504 b=5.3504 c=5.3504 alpha=140.61 beta=130.72 gamma=64.83
With the nearest neighbours (Å) after each atom.
Sites, in units of the cell vectors:
Au1 0.2718 0.7718 0.5000  2 Cu 2.68, 4 Cd 2.89
Cu1 0.4916 0.4916 0.0000  2 Au 2.68, 6 Cd 2.82-2.87
Cd1 0.0054 0.0054 0.0000  4 Cu 2.87, 4 Au 3.01-3.07, 4 Cd 3.02-3.06
Cd2 0.7311 0.2311 0.5000  2 Cu 2.82, 4 Au 2.89, 4 Cd 3.02-3.06

## Properties
**DFT formation energy**: -21 kJ/mol of formula units
**Theoretical density**: 11.091 g cm⁻³
**V**: 18.165 Å³/atom
**Size of the total moment**: 0.000 μB per atom
**Symmetry**: Imm2 (44)
**Calculated total energy**: -2.36 eV/atom



No. 2
The following is a DFT calculation (GGA-PBE) of crystalline CdCuAu3 at its relaxed geometry.

Unit cell a=4.8021 b=4.8021 c=4.8021 alpha=90.00 beta=90.00 gamma=90.00
With the nearest neighbours (Å) after each atom.
Sites, in units of the cell vectors:
Au1 0.0000 0.5000 0.0000  2 Cu 2.40
Au2 0.0000 0.0000 0.5000  2 Cu 2.40
Au3 0.5000 0.0000 0.0000  2 Cu 2.40
Cu1 0.0000 0.0000 0.0000  6 Au 2.40
Cd1 0.5000 0.5000 0.5000  12 Au 3.40

## Properties
**DFT formation energy**: 190 kJ/mol of formula units
**Theoretical density**: 11.499 g cm⁻³
**V**: 22.147 Å³/atom
**Size of the total moment**: 0.000 μB per atom
**Symmetry**: Pm-3m (221)
**Calculated total energy**: -2.57 eV/atom



No. 3
The following is a DFT calculation (GGA-PBE) of crystalline CdCuAu at its relaxed geometry.

Unit cell a=3.0047 b=3.0047 c=6.6426 alpha=90.00 beta=90.00 gamma=120.00
With the nearest neighbours (Å) after each atom.
Sites, in units of the cell vectors:
Au1 0.0000 0.0000 0.9800  3 Cu 2.68, 3 Cd 3.00, 6 Au 3.00
Cd1 0.6667 0.3333 0.3482  3 Cu 2.76, 3 Au 3.00, 6 Cd 3.00
Cu1 0.3333 0.6667 0.6718  3 Au 2.68, 3 Cd 2.76, 6 Cu 3.00

## Properties
**DFT formation energy**: 8 kJ/mol of formula units
**Theoretical density**: 11.923 g cm⁻³
**V**: 17.312 Å³/atom
**Size of the total moment**: 0.000 μB per atom
**Symmetry**: P3m1 (156)
**Calculated total energy**: -2.73 eV/atom



No. 4
The following is a DFT calculation (GGA-PBE) of crystalline CdCu3Au5 at its relaxed geometry.

Unit cell a=7.0948 b=7.0948 c=9.1429 alpha=62.98 beta=62.98 gamma=65.43
With the nearest neighbours (Å) after each atom.
Sites, in units of the cell vectors:
Cd1 0.1601 0.1601 0.6341  3 Cu 2.65-2.82, 3 Au 2.79-2.92
Cd2 0.8399 0.8399 0.3659  3 Cu 2.65-2.82, 3 Au 2.79-2.92
Cu1 0.7470 0.7470 0.7716  4 Au 2.51-2.69, 1 Cu 2.68
Cu2 0.6128 0.6128 0.3783  1 Cu 2.39, 3 Au 2.49-2.67, 1 Cd 2.65
Cu3 0.0000 0.0000 0.0000  4 Au 2.49-2.61
Cu4 0.0000 0.0000 0.5000  4 Au 2.62, 2 Cu 2.68, 2 Cd 2.77
Cu5 0.2530 0.2530 0.2284  4 Au 2.51-2.69, 1 Cu 2.68
Cu6 0.3872 0.3872 0.6217  1 Cu 2.39, 3 Au 2.49-2.67, 1 Cd 2.65
Au1 0.8681 0.2899 0.2369  3 Cu 2.60-2.70, 2 Au 2.79-2.81
Au2 0.3244 0.6756 0.0000  1 Cu 2.49, 1 Au 2.69
Au3 0.7619 0.7619 0.0551  3 Cu 2.49-2.69
Au4 0.4119 0.4119 0.3283  3 Cu 2.51-2.67, 1 Cd 2.79, 2 Au 2.79
Au5 0.5881 0.5881 0.6717  3 Cu 2.51-2.67, 1 Cd 2.79, 2 Au 2.79
Au6 0.2381 0.2381 0.9449  3 Cu 2.49-2.69
Au7 0.2899 0.8681 0.2369  3 Cu 2.60-2.70, 2 Au 2.79-2.81
Au8 0.6756 0.3244 0.0000  1 Cu 2.49, 1 Au 2.69
Au9 0.1319 0.7101 0.7631  3 Cu 2.60-2.70, 2 Au 2.79-2.81
Au10 0.7101 0.1319 0.7631  3 Cu 2.60-2.70, 2 Au 2.79-2.81

## Properties
**DFT formation energy**: 149 kJ/mol of formula units
**Theoretical density**: 12.141 g cm⁻³
**V**: 19.572 Å³/atom
**Size of the total moment**: 0.000 μB per atom
**Symmetry**: C2/m (12)
**Calculated total energy**: -3.12 eV/atom